The following is a PBE+U calculation of crystalline CoIrOsO6 at its relaxed geometry, from the Alexandria database.

Unit cell a=4.901 b=4.901 c=8.823 alpha=90.00 beta=90.00 gamma=120.00
Positions (direct):
Os (0.667, 0.333, 0.250)
Ir (0.667, 0.333, 0.750)
O (0.332, 0.338, 0.880)
O (0.994, 0.662, 0.380)
Os (0.333, 0.667, 0.750)
O (0.006, 0.668, 0.880)
O (0.662, 0.668, 0.620)
O (0.338, 0.006, 0.120)
O (0.668, 0.006, 0.380)
O (0.332, 0.994, 0.620)
O (0.994, 0.332, 0.120)
O (0.668, 0.662, 0.120)
Co (0.000, 0.000, 0.500)
O (0.662, 0.994, 0.880)
O (0.006, 0.338, 0.620)
Ir (0.333, 0.667, 0.250)
O (0.338, 0.332, 0.380)
Co (0.000, 0.000, 0.000)

Properties
crystal system: trigonal
magnetic moment: 0.017 μB per formula unit
symmetry: No. 163
final energy: -6.84 eV/atom
calculated volume: 10.20 A^3/atom
DOS(E_F): 12.6 states/eV per cell


The following is a PBE+U calculation of crystalline CoP2IrO at its relaxed geometry, from the Alexandria database.

Unit cell a=4.496 b=4.496 c=3.307 alpha=90.00 beta=90.00 gamma=90.00
Positions (direct):
Co (0.000, 0.000, 0.000)
Ir (0.500, 0.500, 0.500)
P (0.000, 0.500, 0.000)
P (0.500, 0.000, 0.000)
O (0.000, 0.000, 0.500)

Properties
crystal system: tetragonal
magnetic moment: 1.155 μB per formula unit
symmetry: No. 123
final energy: -5.54 eV/atom
calculated volume: 13.37 A^3/atom
DOS(E_F): 3.0 states/eV per cell
energy relative to the lowest polymorph listed for this composition: 0.000 eV/f.u.


The following is a PBE+U calculation of crystalline CoP2IrO at its relaxed geometry, from the Alexandria database.

Unit cell a=4.803 b=4.803 c=3.686 alpha=90.00 beta=90.00 gamma=90.00
Positions (direct):
P (0.500, 0.000, 0.000)
Ir (0.000, 0.000, 0.000)
Co (0.500, 0.500, 0.500)
P (0.000, 0.500, 0.000)
O (0.000, 0.000, 0.500)

Properties
crystal system: tetragonal
magnetic moment: 2.321 μB per formula unit
symmetry: No. 123
final energy: -5.41 eV/atom
calculated volume: 17.01 A^3/atom
DOS(E_F): 5.0 states/eV per cell
energy relative to the lowest polymorph listed for this composition: 0.653 eV/f.u.


The following is a PBE+U calculation of crystalline Co2PIrO at its relaxed geometry, from the Alexandria database.

Unit cell a=4.883 b=4.296 c=4.883 alpha=90.00 beta=90.00 gamma=90.00
Positions (direct):
O (0.500, 0.500, 0.500)
Co (0.500, 0.000, 0.000)
Ir (0.000, 0.000, 0.000)
P (0.000, 0.500, 0.000)
Co (0.000, 0.000, 0.500)

Properties
crystal system: tetragonal
magnetic moment: 7.026 μB per formula unit
symmetry: No. 123
final energy: -4.90 eV/atom
calculated volume: 20.48 A^3/atom
DOS(E_F): 3.9 states/eV per cell


The following is a PBE+U calculation of crystalline PaCo2IrO8 at its relaxed geometry, from the Alexandria database.

Unit cell a=5.071 b=5.071 c=6.234 alpha=114.00 beta=114.00 gamma=90.00
Positions (direct):
Ir (0.750, 0.250, 0.500)
O (0.430, 0.323, 0.218)
Pa (0.000, 0.000, 0.000)
O (0.677, 0.212, 0.782)
O (0.593, 0.637, 0.694)
Co (0.500, 0.500, 0.000)
O (0.101, 0.058, 0.694)
O (0.363, 0.899, 0.306)
O (0.788, 0.896, 0.218)
Co (0.250, 0.750, 0.500)
O (0.104, 0.570, 0.782)
O (0.942, 0.407, 0.306)

Properties
crystal system: tetragonal
magnetic moment: 6.291 μB per formula unit
symmetry: No. 82
final energy: -7.09 eV/atom
calculated volume: 10.93 A^3/atom
DOS(E_F): 2.7 states/eV per cell


The following is a PBE+U calculation of crystalline CoIrPb2O8 at its relaxed geometry, from the Alexandria database.

Unit cell a=4.805 b=4.801 c=6.665 alpha=90.00 beta=90.00 gamma=90.97
Positions (direct):
O (0.289, 0.287, 0.000)
Pb (0.500, 0.500, 0.746)
O (0.717, 0.718, 0.500)
O (0.824, 0.177, 0.238)
O (0.176, 0.823, 0.238)
O (0.711, 0.713, 0.000)
Pb (0.500, 0.500, 0.254)
Ir (0.000, 0.000, 0.000)
O (0.824, 0.177, 0.762)
Co (0.000, 0.000, 0.500)
O (0.283, 0.282, 0.500)
O (0.176, 0.823, 0.762)

Properties
crystal system: monoclinic
magnetic moment: 5.498 μB per formula unit
symmetry: No. 10
final energy: -5.84 eV/atom
calculated volume: 12.81 A^3/atom
DOS(E_F): 4.6 states/eV per cell


The following is a PBE+U calculation of crystalline CoIrPb2O6 at its relaxed geometry, from the Alexandria database.

Unit cell a=3.867 b=5.803 c=5.803 alpha=90.00 beta=90.00 gamma=90.00
Positions (direct):
Pb (0.066, 0.500, 0.000)
O (0.147, 0.500, 0.500)
Pb (0.066, 0.000, 0.500)
O (0.685, 0.757, 0.757)
Co (0.608, 0.500, 0.500)
O (0.685, 0.243, 0.757)
O (0.685, 0.243, 0.243)
O (0.685, 0.757, 0.243)
Ir (0.659, 0.000, 0.000)
O (0.162, 0.000, 0.000)

Properties
crystal system: tetragonal
magnetic moment: 4.520 μB per formula unit
symmetry: No. 99
final energy: -5.94 eV/atom
calculated volume: 13.02 A^3/atom
DOS(E_F): 5.3 states/eV per cell


The following is a PBE+U calculation of crystalline Co2IrPbO at its relaxed geometry, from the Alexandria database.

Unit cell a=4.652 b=5.193 c=4.652 alpha=90.00 beta=90.00 gamma=90.00
Positions (direct):
Ir (0.000, 0.000, 0.000)
Pb (0.000, 0.500, 0.000)
O (0.500, 0.500, 0.500)
Co (0.500, 0.000, 0.000)
Co (0.000, 0.000, 0.500)

Properties
crystal system: tetragonal
magnetic moment: 4.702 μB per formula unit
symmetry: No. 123
final energy: -4.45 eV/atom
calculated volume: 22.47 A^3/atom
DOS(E_F): 2.7 states/eV per cell


The following is a PBE+U calculation of crystalline CoIr2PbO8 at its relaxed geometry, from the Alexandria database.

Unit cell a=5.874 b=5.874 c=5.611 alpha=90.00 beta=90.00 gamma=120.00
Positions (direct):
O (0.328, 0.936, 0.155)
O (0.392, 0.328, 0.845)
Co (0.000, 0.000, 0.500)
O (0.608, 0.672, 0.155)
Ir (0.667, 0.333, 0.046)
O (0.064, 0.392, 0.155)
O (0.936, 0.608, 0.845)
Pb (0.000, 0.000, 0.000)
O (0.333, 0.667, 0.635)
O (0.672, 0.064, 0.845)
O (0.667, 0.333, 0.365)
Ir (0.333, 0.667, 0.954)

Properties
crystal system: trigonal
magnetic moment: 2.196 μB per formula unit
symmetry: No. 147
final energy: -5.70 eV/atom
calculated volume: 13.97 A^3/atom
DOS(E_F): 7.9 states/eV per cell


The following is a PBE+U calculation of crystalline Co2IrPbO6 at its relaxed geometry, from the Alexandria database.

Unit cell a=5.275 b=5.275 c=5.679 alpha=62.33 beta=62.32 gamma=60.00
Positions (direct):
Co (0.533, 0.533, 0.400)
O (0.340, 0.735, 0.772)
O (0.153, 0.340, 0.772)
O (0.621, 0.235, 0.222)
O (0.235, 0.922, 0.222)
Pb (0.795, 0.795, 0.615)
O (0.922, 0.621, 0.222)
O (0.735, 0.153, 0.772)
Ir (0.323, 0.323, 0.031)
Co (0.004, 0.004, 0.987)

Properties
crystal system: trigonal
magnetic moment: 2.772 μB per formula unit
symmetry: No. 146
final energy: -6.09 eV/atom
calculated volume: 11.55 A^3/atom
DOS(E_F): 4.4 states/eV per cell


The following is a PBE+U calculation of crystalline CoIr2PdO at its relaxed geometry, from the Alexandria database.

Unit cell a=4.056 b=4.309 c=4.056 alpha=90.00 beta=90.00 gamma=90.00
Positions (direct):
O (0.000, 0.000, 0.000)
Pd (0.000, 0.500, 0.000)
Ir (0.500, 0.000, 0.000)
Ir (0.000, 0.000, 0.500)
Co (0.500, 0.500, 0.500)

Properties
crystal system: tetragonal
magnetic moment: 3.024 μB per formula unit
symmetry: No. 123
final energy: -5.91 eV/atom
calculated volume: 14.17 A^3/atom
DOS(E_F): 5.5 states/eV per cell


The following is a PBE+U calculation of crystalline Pm2CoIrO6 at its relaxed geometry, from the Alexandria database.

Unit cell a=5.427 b=5.884 c=7.714 alpha=90.00 beta=90.47 gamma=90.00
Positions (direct):
O (0.310, 0.692, 0.053)
O (0.821, 0.799, 0.944)
Ir (0.000, 0.500, 0.000)
O (0.112, 0.465, 0.751)
Pm (0.025, 0.923, 0.250)
O (0.690, 0.308, 0.947)
Pm (0.525, 0.577, 0.750)
O (0.612, 0.035, 0.251)
Co (0.500, 0.000, 0.000)
O (0.810, 0.808, 0.553)
O (0.190, 0.192, 0.447)
Ir (0.500, 0.000, 0.500)
Pm (0.975, 0.077, 0.750)
Pm (0.475, 0.423, 0.250)
O (0.679, 0.299, 0.556)
Co (0.000, 0.500, 0.500)
O (0.388, 0.965, 0.749)
O (0.321, 0.701, 0.444)
O (0.888, 0.535, 0.249)
O (0.179, 0.201, 0.056)

Properties
crystal system: monoclinic
magnetic moment: 1.960 μB per formula unit
symmetry: No. 14
final energy: -7.47 eV/atom
calculated volume: 12.31 A^3/atom
DOS(E_F): 13.0 states/eV per cell


The following is a PBE+U calculation of crystalline PmCo2IrO6 at its relaxed geometry, from the Alexandria database.

Unit cell a=5.281 b=5.281 c=5.640 alpha=62.08 beta=62.08 gamma=60.00
Positions (direct):
Pm (0.794, 0.794, 0.617)
Co (0.005, 0.005, 0.985)
O (0.238, 0.917, 0.225)
O (0.917, 0.620, 0.225)
Co (0.530, 0.530, 0.411)
O (0.339, 0.739, 0.766)
Ir (0.324, 0.324, 0.028)
O (0.620, 0.238, 0.225)
O (0.156, 0.339, 0.766)
O (0.739, 0.156, 0.766)

Properties
crystal system: trigonal
magnetic moment: 1.958 μB per formula unit
symmetry: No. 146
final energy: -6.77 eV/atom
calculated volume: 11.46 A^3/atom
DOS(E_F): 5.2 states/eV per cell


The following is a PBE+U calculation of crystalline Pm2CoIrO8 at its relaxed geometry, from the Alexandria database.

Unit cell a=5.313 b=4.192 c=6.890 alpha=93.83 beta=82.73 gamma=96.49
Positions (direct):
O (0.953, 0.208, 0.755)
Co (0.000, 0.000, 0.500)
O (0.725, 0.691, 0.954)
Ir (0.000, 0.000, 0.000)
Pm (0.483, 0.687, 0.264)
O (0.047, 0.792, 0.245)
Pm (0.517, 0.313, 0.736)
O (0.243, 0.777, 0.835)
O (0.319, 0.212, 0.449)
O (0.757, 0.223, 0.165)
O (0.681, 0.788, 0.551)
O (0.275, 0.309, 0.046)

Properties
crystal system: triclinic
magnetic moment: 3.061 μB per formula unit
symmetry: No. 2
final energy: -7.01 eV/atom
calculated volume: 12.59 A^3/atom
DOS(E_F): 4.8 states/eV per cell


The following is a PBE+U calculation of crystalline PmCo2IrO8 at its relaxed geometry, from the Alexandria database.

Unit cell a=4.728 b=4.732 c=6.758 alpha=84.70 beta=84.67 gamma=83.19
Positions (direct):
O (0.675, 0.670, 0.501)
Pm (0.000, 0.000, 0.500)
Ir (0.000, 0.000, 0.000)
O (0.785, 0.210, 0.214)
O (0.325, 0.330, 0.499)
O (0.785, 0.209, 0.787)
O (0.260, 0.267, 0.965)
Co (0.465, 0.465, 0.728)
O (0.215, 0.790, 0.786)
O (0.740, 0.733, 0.035)
Co (0.535, 0.535, 0.272)
O (0.215, 0.791, 0.213)

Properties
crystal system: triclinic
magnetic moment: 6.387 μB per formula unit
symmetry: No. 2
final energy: -6.48 eV/atom
calculated volume: 12.42 A^3/atom
DOS(E_F): 4.5 states/eV per cell


The following is a PBE+U calculation of crystalline Pr2CoIrO8 at its relaxed geometry, from the Alexandria database.

Unit cell a=5.312 b=4.263 c=6.978 alpha=93.59 beta=83.05 gamma=96.63
Positions (direct):
O (0.967, 0.203, 0.752)
O (0.682, 0.791, 0.554)
O (0.265, 0.312, 0.051)
O (0.746, 0.218, 0.150)
Co (0.000, 0.000, 0.500)
Pr (0.484, 0.692, 0.262)
O (0.735, 0.688, 0.949)
O (0.033, 0.797, 0.248)
O (0.254, 0.782, 0.850)
Ir (0.000, 0.000, 0.000)
Pr (0.516, 0.308, 0.738)
O (0.318, 0.209, 0.446)

Properties
crystal system: triclinic
magnetic moment: 1.214 μB per formula unit
symmetry: No. 2
final energy: -6.99 eV/atom
calculated volume: 12.97 A^3/atom
DOS(E_F): 5.1 states/eV per cell


The following is a PBE+U calculation of crystalline PrCoIrO6 at its relaxed geometry, from the Alexandria database.

Unit cell a=5.145 b=5.104 c=5.104 alpha=120.00 beta=90.00 gamma=90.00
Positions (direct):
Pr (0.000, 0.333, 0.667)
Co (0.500, 0.000, 0.000)
O (0.707, 0.966, 0.293)
O (0.707, 0.327, 0.034)
O (0.293, 0.707, 0.034)
Ir (0.500, 0.667, 0.333)
O (0.293, 0.327, 0.293)
O (0.293, 0.966, 0.673)
O (0.707, 0.707, 0.673)

Properties
crystal system: trigonal
magnetic moment: 2.845 μB per formula unit
symmetry: No. 149
final energy: -6.87 eV/atom
calculated volume: 12.90 A^3/atom
DOS(E_F): 2.7 states/eV per cell


The following is a PBE+U calculation of crystalline CoIrPt2O at its relaxed geometry, from the Alexandria database.

Unit cell a=4.341 b=3.731 c=4.341 alpha=90.00 beta=90.00 gamma=90.00
Positions (direct):
Pt (0.500, 0.000, 0.000)
Ir (0.500, 0.500, 0.500)
Pt (0.000, 0.000, 0.500)
Co (0.000, 0.500, 0.000)
O (0.000, 0.000, 0.000)

Properties
crystal system: tetragonal
magnetic moment: 3.274 μB per formula unit
symmetry: No. 123
final energy: -5.67 eV/atom
calculated volume: 14.06 A^3/atom
DOS(E_F): 4.8 states/eV per cell


The following is a PBE+U calculation of crystalline PuCoIrO6 at its relaxed geometry, from the Alexandria database.

Unit cell a=5.140 b=5.140 c=9.338 alpha=90.00 beta=90.00 gamma=120.00
Positions (direct):
O (0.660, 0.670, 0.628)
O (0.660, 0.990, 0.872)
O (0.340, 0.330, 0.372)
O (0.670, 0.660, 0.128)
Ir (0.667, 0.333, 0.250)
O (0.670, 0.010, 0.372)
Pu (0.667, 0.333, 0.750)
O (0.010, 0.670, 0.872)
Ir (0.333, 0.667, 0.750)
O (0.330, 0.340, 0.872)
O (0.010, 0.340, 0.628)
O (0.330, 0.990, 0.628)
Co (0.000, 0.000, 0.500)
Pu (0.333, 0.667, 0.250)
O (0.990, 0.660, 0.372)
Co (0.000, 0.000, 0.000)
O (0.990, 0.330, 0.128)
O (0.340, 0.010, 0.128)

Properties
crystal system: trigonal
magnetic moment: 3.996 μB per formula unit
symmetry: No. 163
final energy: -8.03 eV/atom
calculated volume: 11.87 A^3/atom
DOS(E_F): 4.8 states/eV per cell


The following is a PBE+U calculation of crystalline RbCoIrO6 at its relaxed geometry, from the Alexandria database.

Unit cell a=5.104 b=5.104 c=6.306 alpha=90.00 beta=90.00 gamma=60.00
Positions (direct):
O (0.996, 0.608, 0.667)
O (0.608, 0.396, 0.667)
O (0.396, 0.608, 0.333)
O (0.396, 0.996, 0.667)
O (0.608, 0.996, 0.333)
Rb (0.000, 0.000, 0.000)
Ir (0.333, 0.333, 0.500)
Co (0.667, 0.667, 0.500)
O (0.996, 0.396, 0.333)

Properties
crystal system: trigonal
magnetic moment: 1.036 μB per formula unit
symmetry: No. 149
final energy: -5.79 eV/atom
calculated volume: 15.81 A^3/atom
DOS(E_F): 1.2 states/eV per cell